Entry 1:
# PBE NpCd2P2Pt7, relaxed
data_NpCd2P2Pt7
_chemical_formula_sum 'Np2 Cd4 P4 Pt14'
_symmetry_space_group_name_H-M 'C 1 2/m 1'
_symmetry_Int_Tables_number 12
_symmetry_space_group_name_Hall '-C 2y'
_cell_length_a 5.650
_cell_length_b 5.650
_cell_length_c 14.146
_cell_angle_alpha 90.00
_cell_angle_beta 97.86
_cell_angle_gamma 90.00
loop_
_atom_site_label
_atom_site_fract_x
_atom_site_fract_y
_atom_site_fract_z
Np1 0.000 0.000 0.000
Cd1 0.094 0.000 0.405
P1 0.084 0.500 0.256
Pt1 0.000 0.500 0.000
Pt2 0.094 0.500 0.416
Pt3 0.197 0.250 0.838
# E_form, meV/atom: -447
# Density, Mg/m³: 14.03
# Total moment, μB/f.u.: 3.330
# DOS(E_F), states/eV per atom: 1.056

=====

Entry 2:
# PBE NpCd4Pb, relaxed
data_NpCd4Pb
_chemical_formula_sum 'Np4 Cd16 Pb4'
_symmetry_space_group_name_H-M 'F -4 3 m'
_symmetry_Int_Tables_number 216
_symmetry_space_group_name_Hall 'F -4 2 3'
_cell_length_a 8.498
_cell_length_b 8.498
_cell_length_c 8.498
_cell_angle_alpha 90.00
_cell_angle_beta 90.00
_cell_angle_gamma 90.00
loop_
_atom_site_label
_atom_site_fract_x
_atom_site_fract_y
_atom_site_fract_z
Np1 0.000 0.000 0.000
Cd1 0.125 0.125 0.375
Pb1 0.250 0.250 0.750
# E_form, meV/atom: 204
# Density, Mg/m³: 9.67
# Total moment, μB/f.u.: 4.606
# DOS(E_F), states/eV per atom: 1.841

=====

Entry 3:
# PBE NpCdPb, relaxed
data_NpCdPb
_chemical_formula_sum 'Np4 Cd4 Pb4'
_symmetry_space_group_name_H-M 'C 1 2/m 1'
_symmetry_Int_Tables_number 12
_symmetry_space_group_name_Hall '-C 2y'
_cell_length_a 10.861
_cell_length_b 3.494
_cell_length_c 8.287
_cell_angle_alpha 90.00
_cell_angle_beta 103.69
_cell_angle_gamma 90.00
loop_
_atom_site_label
_atom_site_fract_x
_atom_site_fract_y
_atom_site_fract_z
Np1 0.175 0.000 0.462
Cd1 0.172 0.500 0.119
Pb1 0.077 0.500 0.746
# E_form, meV/atom: 125
# Density, Mg/m³: 12.10
# Total moment, μB/f.u.: 0.719
# DOS(E_F), states/eV per atom: 1.155

=====

Entry 4:
# PBE NpCdPb, relaxed
data_NpCdPb
_chemical_formula_sum 'Np1 Cd1 Pb1'
_symmetry_space_group_name_H-M 'P 3 m 1'
_symmetry_Int_Tables_number 156
_symmetry_space_group_name_Hall 'P 3 -2"'
_cell_length_a 3.2094
_cell_length_b 3.2094
_cell_length_c 8.5837
_cell_angle_alpha 90.00
_cell_angle_beta 90.00
_cell_angle_gamma 120.00
loop_
_atom_site_label
_atom_site_fract_x
_atom_site_fract_y
_atom_site_fract_z
Np1 0.0000 0.0000 0.0000
Cd1 0.6667 0.3333 0.3232
Pb1 0.3333 0.6667 0.6577
# E_form, meV/atom: 273
# Density, Mg/m³: 12.07
# Total moment, μB/f.u.: 3.977
# DOS(E_F), states/eV per atom: 1.372

=====

Entry 5:
# PBE Np2CdPd9, relaxed
data_Np2CdPd9
_chemical_formula_sum 'Np2 Cd1 Pd9'
_symmetry_space_group_name_H-M 'P 4/m m m'
_symmetry_Int_Tables_number 123
_symmetry_space_group_name_Hall '-P 4 2'
_cell_length_a 4.115
_cell_length_b 4.115
_cell_length_c 12.238
_cell_angle_alpha 90.00
_cell_angle_beta 90.00
_cell_angle_gamma 90.00
loop_
_atom_site_label
_atom_site_fract_x
_atom_site_fract_y
_atom_site_fract_z
Np1 0.000 0.000 0.173
Cd1 0.000 0.000 0.500
Pd1 0.000 0.500 0.000
Pd2 0.000 0.500 0.333
Pd3 0.500 0.500 0.167
Pd4 0.500 0.500 0.500
# E_form, meV/atom: -398
# Density, Mg/m³: 12.38
# Total moment, μB/f.u.: 5.996
# DOS(E_F), states/eV per atom: 2.527

=====

Entry 6:
# PBE NpCdPd2, relaxed
data_NpCdPd2
_chemical_formula_sum 'Np1 Cd1 Pd2'
_symmetry_space_group_name_H-M 'P 4/m m m'
_symmetry_Int_Tables_number 123
_symmetry_space_group_name_Hall '-P 4 2'
_cell_length_a 3.032
_cell_length_b 3.032
_cell_length_c 8.159
_cell_angle_alpha 90.00
_cell_angle_beta 90.00
_cell_angle_gamma 90.00
loop_
_atom_site_label
_atom_site_fract_x
_atom_site_fract_y
_atom_site_fract_z
Np1 0.000 0.000 0.000
Cd1 0.000 0.000 0.500
Pd1 0.500 0.500 0.263
# E_form, meV/atom: -223
# Density, Mg/m³: 12.45
# Total moment, μB/f.u.: 3.859
# DOS(E_F), states/eV per atom: 1.590

=====

Entry 7:
# PBE Np3CdPd12, relaxed
data_Np3CdPd12
_chemical_formula_sum 'Np3 Cd1 Pd12'
_symmetry_space_group_name_H-M 'P 4/m m m'
_symmetry_Int_Tables_number 123
_symmetry_space_group_name_Hall '-P 4 2'
_cell_length_a 4.121
_cell_length_b 4.121
_cell_length_c 16.416
_cell_angle_alpha 90.00
_cell_angle_beta 90.00
_cell_angle_gamma 90.00
loop_
_atom_site_label
_atom_site_fract_x
_atom_site_fract_y
_atom_site_fract_z
Np1 0.000 0.000 0.000
Np2 0.000 0.000 0.257
Cd1 0.000 0.000 0.500
Pd1 0.000 0.500 0.128
Pd2 0.000 0.500 0.376
Pd3 0.500 0.500 0.000
Pd4 0.500 0.500 0.251
Pd5 0.500 0.500 0.500
# E_form, meV/atom: -408
# Density, Mg/m³: 12.51
# Total moment, μB/f.u.: 2.426
# DOS(E_F), states/eV per atom: 2.304

=====

Entry 8:
# PBE NpCdPd5, relaxed
data_NpCdPd5
_chemical_formula_sum 'Np2 Cd2 Pd10'
_symmetry_space_group_name_H-M 'C m m m'
_symmetry_Int_Tables_number 65
_symmetry_space_group_name_Hall '-C 2 2'
_cell_length_a 5.744
_cell_length_b 7.925
_cell_length_c 5.770
_cell_angle_alpha 90.00
_cell_angle_beta 90.00
_cell_angle_gamma 90.00
loop_
_atom_site_label
_atom_site_fract_x
_atom_site_fract_y
_atom_site_fract_z
Np1 0.000 0.000 0.000
Cd1 0.000 0.500 0.500
Pd1 0.000 0.500 0.000
Pd2 0.250 0.250 0.256
# E_form, meV/atom: -265
# Density, Mg/m³: 11.14
# Total moment, μB/f.u.: 3.322
# DOS(E_F), states/eV per atom: 1.666

=====

- Which value of E_form does entry 1 give?
  -447 meV/atom